[1]
Entry from Alexandria: a geometry-optimized La2TaRePd structure (GGA-PBE).

Unit cell a=5.444 b=5.444 c=4.797 alpha=90.00 beta=90.00 gamma=90.00
Positions (direct):
La  0.000  0.500  0.000
La  0.500  0.000  0.000
Ta  0.000  0.000  0.500
Re  0.500  0.500  0.500
Pd  0.500  0.500  0.000

Summary:
**Electronic total energy**: -6.63 eV/atom
**Volume**: 28.44 A^3/atom
**Energy of formation from the pure elements**: 1.245 eV/atom
**Magnetization**: 0.00 μB per formula unit

=====

[2]
Entry from Alexandria: a geometry-optimized Cd3H4Ir structure (GGA-PBE).

Unit cell a=5.442 b=5.442 c=5.442 alpha=126.40 beta=116.66 gamma=87.59
Positions (direct):
Cd  0.000  0.000  0.000
Cd  0.148  0.398  0.750
Cd  0.647  0.398  0.250
H  0.113  0.776  0.337
H  0.439  0.776  0.663
H  0.612  0.320  0.708
H  0.612  0.904  0.292
Ir  0.448  0.948  0.500

Summary:
**Electronic total energy**: -3.08 eV/atom
**Volume**: 13.77 A^3/atom
**Magnetization**: 0.00 μB per formula unit

=====

[3]
Entry from Alexandria: a geometry-optimized Sr5Si2Bi2 structure (GGA-PBE).

Unit cell a=9.537 b=9.537 c=8.577 alpha=90.00 beta=90.00 gamma=53.95
Positions (direct):
Sr  0.000  0.000  0.000
Sr  0.038  0.689  0.672
Sr  0.189  0.538  0.172
Sr  0.311  0.962  0.672
Sr  0.462  0.811  0.172
Sr  0.500  0.500  0.500
Sr  0.538  0.189  0.828
Sr  0.689  0.038  0.328
Sr  0.811  0.462  0.828
Sr  0.962  0.311  0.328
Si  0.097  0.903  0.402
Si  0.403  0.597  0.902
Si  0.597  0.403  0.098
Si  0.903  0.097  0.598
Bi  0.203  0.203  0.000
Bi  0.297  0.297  0.500
Bi  0.703  0.703  0.500
Bi  0.797  0.797  0.000

Summary:
**Electronic total energy**: -3.61 eV/atom
**Volume**: 35.04 A^3/atom
**Magnetization**: 1.46 μB per formula unit
**Uncorrected formation energy**: -610 meV/atom

=====

[4]
Entry from Alexandria: a geometry-optimized Pu2SnH2 structure (GGA-PBE).

Unit cell a=7.896 b=7.896 c=3.132 alpha=90.00 beta=90.00 gamma=155.22
Positions (direct):
Pu  0.155  0.845  0.000
Pu  0.845  0.155  0.000
Sn  0.500  0.500  0.500
H  0.293  0.707  0.500
H  0.707  0.293  0.500

Summary:
**Electronic total energy**: -8.16 eV/atom
**Volume**: 16.37 A^3/atom
**Magnetization**: 11.81 μB per formula unit

=====

Which formula does entry 4 have? Pu2SnH2

=====

What is the volume in the second record? 13.77 A^3/atom